# PBE PrLuPa, relaxed
# Offset from the most stable computed form ... 0.000 eV per atom
# DFT formation energy ... 0.1540 eV/atom
data_PrLuPa
_chemical_formula_sum 'Pr1 Lu1 Pa1'
_cell_length_a 3.4350
_cell_length_b 3.4350
_cell_length_c 8.6424
_cell_angle_alpha 90.00
_cell_angle_beta 90.00
_cell_angle_gamma 120.00
_symmetry_space_group_name_H-M 'P 3 m 1'
_symmetry_Int_Tables_number 156
loop_
_symmetry_equiv_pos_as_xyz
'x,y,z'
'-y,x-y,z'
'-x+y,-x,z'
'-y,-x,z'
'-x+y,y,z'
'x,x-y,z'
loop_
_atom_site_label
_atom_site_type_symbol
_atom_site_fract_x
_atom_site_fract_y
_atom_site_fract_z
_atom_site_occupancy
Pr1 Pr 0.0000 0.0000 0.0000 1
Lu1 Lu 0.3333 0.6667 0.6391 1
Pa1 Pa 0.6667 0.3333 0.3283 1